4
Lattice="3.993 -1.458 0.000 3.993 1.458 0.000 -1.147 0.000 4.875" Properties=species:S:1:pos:R:3 comment="SiTc2Se, relaxed, DFT GGA-PBEsol" mass_density_g_cm3=8.87 vol_a3_per_atom=14.19 raw_formation_energy_kj_per_mol_atoms=-2 n_ef_per_ev_fu=3.92 energy_ev_per_atom=-8.057 relative_energy_mev_per_atom=153.1 pbc="T T T"
Si 0.000 0.000 0.000
Tc 1.254 0.000 3.645
Tc 5.585 0.000 1.229
Se 3.419 0.000 2.437



3
Lattice="4.227 0.000 0.000 -2.113 3.661 0.000 0.000 0.000 2.942" Properties=species:S:1:pos:R:3 comment="SiTcSe, relaxed, DFT GGA-PBEsol" mass_density_g_cm3=7.48 vol_a3_per_atom=15.17 raw_formation_energy_kj_per_mol_atoms=22 n_ef_per_ev_fu=2.12 energy_ev_per_atom=-6.725 relative_energy_mev_per_atom=0.0 pbc="T T T"
Si 0.000 0.000 0.000
Tc 0.000 2.440 1.471
Se 2.113 1.220 1.471



8
Lattice="-2.705 2.705 5.365 2.705 -2.705 5.365 2.705 2.705 -5.365" Properties=species:S:1:pos:R:3 comment="SiTc2Se, relaxed, DFT GGA-PBEsol" mass_density_g_cm3=6.41 vol_a3_per_atom=19.63 raw_formation_energy_kj_per_mol_atoms=53 n_ef_per_ev_fu=1.91 energy_ev_per_atom=-7.479 relative_energy_mev_per_atom=731.2 pbc="T T T"
Si 0.000 0.000 0.000
Si 0.000 2.705 2.682
Tc 4.057 1.330 -1.341
Tc 1.330 1.352 1.341
Tc -1.352 1.375 4.023
Tc 1.375 1.352 6.706
Se 2.705 0.000 2.682
Se 0.000 0.000 5.365



4
Lattice="-1.633 1.877 6.231 1.633 -1.877 6.231 1.633 1.877 -6.231" Properties=species:S:1:pos:R:3 comment="SiTcSe2, relaxed, DFT GGA-PBEsol" mass_density_g_cm3=6.17 vol_a3_per_atom=19.10 raw_formation_energy_kj_per_mol_atoms=-16 n_ef_per_ev_fu=1.55 energy_ev_per_atom=-6.344 pbc="T T T"
Si 0.000 0.000 0.000
Tc 0.000 0.000 6.231
Se 1.633 0.000 1.827
Se 0.000 1.877 4.404



Please write out number 2 again, unchanged.
3
Lattice="4.227 0.000 0.000 -2.113 3.661 0.000 0.000 0.000 2.942" Properties=species:S:1:pos:R:3 comment="SiTcSe, relaxed, DFT GGA-PBEsol" mass_density_g_cm3=7.48 vol_a3_per_atom=15.17 raw_formation_energy_kj_per_mol_atoms=22 n_ef_per_ev_fu=2.12 energy_ev_per_atom=-6.725 relative_energy_mev_per_atom=0.0 pbc="T T T"
Si 0.000 0.000 0.000
Tc 0.000 2.440 1.471
Se 2.113 1.220 1.471